A plane-wave DFT calculation with GGA-PBE was carried out for a relaxed structure of CaLa2Sn3Pd4.

Cell and atoms, written as CIF:
```
data_CaLa2Sn3Pd4
_symmetry_space_group_name_H-M 'P 1'
_symmetry_Int_Tables_number 1
_symmetry_space_group_name_Hall 'P 1'
_cell_length_a 4.639
_cell_length_b 4.639
_cell_length_c 11.116
_cell_angle_alpha 90.00
_cell_angle_beta 90.00
_cell_angle_gamma 90.00
loop_
_atom_site_label
_atom_site_type_symbol
_atom_site_fract_x
_atom_site_fract_y
_atom_site_fract_z
_atom_site_occupancy
Sn1 Sn 0.000 0.000 0.500 1
Ca1 Ca 0.500 0.500 0.500 1
Sn2 Sn 0.000 0.500 0.123 1
La1 La 0.000 0.500 0.776 1
Pd1 Pd 0.500 0.000 0.642 1
Sn3 Sn 0.500 0.000 0.877 1
La2 La 0.500 0.000 0.224 1
Pd2 Pd 0.000 0.000 0.000 1
Pd3 Pd 0.500 0.500 0.000 1
Pd4 Pd 0.000 0.500 0.358 1
```

Calculated values
Its total energy is -5.2694 eV/atom. Its formation energy is -805.8 meV per atom.



A plane-wave DFT calculation with GGA-PBE was carried out for a relaxed structure of CaLaSn2Pd5.

Cell and atoms, written as CIF:
```
data_CaLaSn2Pd5
_symmetry_space_group_name_H-M 'P 1'
_symmetry_Int_Tables_number 1
_symmetry_space_group_name_Hall 'P 1'
_cell_length_a 4.536
_cell_length_b 4.536
_cell_length_c 9.348
_cell_angle_alpha 90.00
_cell_angle_beta 90.00
_cell_angle_gamma 90.00
loop_
_atom_site_label
_atom_site_type_symbol
_atom_site_fract_x
_atom_site_fract_y
_atom_site_fract_z
_atom_site_occupancy
Sn1 Sn 0.500 0.500 0.848 1
Pd1 Pd 0.000 0.500 0.708 1
Pd2 Pd 0.500 0.000 0.292 1
La1 La 0.000 0.000 0.500 1
Pd3 Pd 0.000 0.500 0.292 1
Pd4 Pd 0.500 0.000 0.708 1
Ca1 Ca 0.000 0.000 0.000 1
Pd5 Pd 0.500 0.500 0.500 1
Sn2 Sn 0.500 0.500 0.152 1
```

Calculated values
Its total energy is -5.2341 eV/atom. Its formation energy is -689.8 meV per atom.



A plane-wave DFT calculation with GGA-PBE was carried out for a relaxed structure of SrCa2LaPd.

Cell and atoms, written as CIF:
```
data_SrCa2LaPd
_symmetry_space_group_name_H-M 'P 1'
_symmetry_Int_Tables_number 1
_symmetry_space_group_name_Hall 'P 1'
_cell_length_a 5.857
_cell_length_b 5.857
_cell_length_c 5.641
_cell_angle_alpha 90.00
_cell_angle_beta 90.00
_cell_angle_gamma 90.00
loop_
_atom_site_label
_atom_site_type_symbol
_atom_site_fract_x
_atom_site_fract_y
_atom_site_fract_z
_atom_site_occupancy
Pd1 Pd 0.000 0.000 0.000 1
La1 La 0.000 0.000 0.500 1
Ca1 Ca 0.000 0.500 0.000 1
Sr1 Sr 0.500 0.500 0.500 1
Ca2 Ca 0.500 0.000 0.000 1
```

Calculated values
Its total energy is -3.4646 eV/atom. The offset from the most stable computed form comes out at 0 meV/atom. Its formation energy is -303.6 meV per atom.



A plane-wave DFT calculation with GGA-PBE was carried out for a relaxed structure of SrCaLa2Pd.

Cell and atoms, written as CIF:
```
data_SrCaLa2Pd
_symmetry_space_group_name_H-M 'P 1'
_symmetry_Int_Tables_number 1
_symmetry_space_group_name_Hall 'P 1'
_cell_length_a 5.732
_cell_length_b 5.732
_cell_length_c 6.175
_cell_angle_alpha 90.00
_cell_angle_beta 90.00
_cell_angle_gamma 90.00
loop_
_atom_site_label
_atom_site_type_symbol
_atom_site_fract_x
_atom_site_fract_y
_atom_site_fract_z
_atom_site_occupancy
Pd1 Pd 0.000 0.000 0.000 1
Ca1 Ca 0.500 0.500 0.500 1
La1 La 0.000 0.500 0.000 1
Sr1 Sr 0.000 0.000 0.500 1
La2 La 0.500 0.000 0.000 1
```

Calculated values
Its total energy is -3.9490 eV/atom. The offset from the most stable computed form comes out at 43 meV/atom. Its formation energy is -202.8 meV per atom.



A plane-wave DFT calculation with GGA-PBE was carried out for a relaxed structure of SrCaLa2Pd.

Cell and atoms, written as CIF:
```
data_SrCaLa2Pd
_symmetry_space_group_name_H-M 'P 1'
_symmetry_Int_Tables_number 1
_symmetry_space_group_name_Hall 'P 1'
_cell_length_a 5.761
_cell_length_b 5.761
_cell_length_c 5.950
_cell_angle_alpha 90.00
_cell_angle_beta 90.00
_cell_angle_gamma 90.00
loop_
_atom_site_label
_atom_site_type_symbol
_atom_site_fract_x
_atom_site_fract_y
_atom_site_fract_z
_atom_site_occupancy
Pd1 Pd 0.000 0.000 0.000 1
La1 La 0.500 0.000 0.000 1
La2 La 0.000 0.500 0.000 1
Sr1 Sr 0.500 0.500 0.500 1
Ca1 Ca 0.000 0.000 0.500 1
```

Calculated values
Its total energy is -3.9920 eV/atom. The offset from the most stable computed form comes out at 0 meV/atom. Its formation energy is -245.8 meV per atom.



A plane-wave DFT calculation with GGA-PBE was carried out for a relaxed structure of SrCa2LaPd.

Cell and atoms, written as CIF:
```
data_SrCa2LaPd
_symmetry_space_group_name_H-M 'P 1'
_symmetry_Int_Tables_number 1
_symmetry_space_group_name_Hall 'P 1'
_cell_length_a 5.679
_cell_length_b 5.679
_cell_length_c 5.884
_cell_angle_alpha 90.00
_cell_angle_beta 90.00
_cell_angle_gamma 90.00
loop_
_atom_site_label
_atom_site_type_symbol
_atom_site_fract_x
_atom_site_fract_y
_atom_site_fract_z
_atom_site_occupancy
La1 La 0.500 0.500 0.500 1
Pd1 Pd 0.000 0.000 0.000 1
Sr1 Sr 0.000 0.000 0.500 1
Ca1 Ca 0.500 0.000 0.000 1
Ca2 Ca 0.000 0.500 0.000 1
```

Calculated values
Its total energy is -3.2955 eV/atom. The offset from the most stable computed form comes out at 169 meV/atom. Its formation energy is -134.4 meV per atom.



A plane-wave DFT calculation with GGA-PBE was carried out for a relaxed structure of CaLaY2Pd.

Cell and atoms, written as CIF:
```
data_CaLaY2Pd
_symmetry_space_group_name_H-M 'P 1'
_symmetry_Int_Tables_number 1
_symmetry_space_group_name_Hall 'P 1'
_cell_length_a 5.509
_cell_length_b 5.509
_cell_length_c 5.631
_cell_angle_alpha 90.00
_cell_angle_beta 90.00
_cell_angle_gamma 90.00
loop_
_atom_site_label
_atom_site_type_symbol
_atom_site_fract_x
_atom_site_fract_y
_atom_site_fract_z
_atom_site_occupancy
Pd1 Pd 0.000 0.000 0.000 1
La1 La 0.500 0.500 0.500 1
Y1 Y 0.500 0.000 0.000 1
Ca1 Ca 0.000 0.000 0.500 1
Y2 Y 0.000 0.500 0.000 1
```

Calculated values
Its total energy is -5.1871 eV/atom. The offset from the most stable computed form comes out at 6 meV/atom. Its formation energy is -177.1 meV per atom.



A plane-wave DFT calculation with GGA-PBE was carried out for a relaxed structure of Ca2LaYPd.

Cell and atoms, written as CIF:
```
data_Ca2LaYPd
_symmetry_space_group_name_H-M 'P 1'
_symmetry_Int_Tables_number 1
_symmetry_space_group_name_Hall 'P 1'
_cell_length_a 5.673
_cell_length_b 5.673
_cell_length_c 5.443
_cell_angle_alpha 90.00
_cell_angle_beta 90.00
_cell_angle_gamma 90.00
loop_
_atom_site_label
_atom_site_type_symbol
_atom_site_fract_x
_atom_site_fract_y
_atom_site_fract_z
_atom_site_occupancy
Pd1 Pd 0.000 0.000 0.000 1
Ca1 Ca 0.000 0.500 0.000 1
La1 La 0.500 0.500 0.500 1
Ca2 Ca 0.500 0.000 0.000 1
Y1 Y 0.000 0.000 0.500 1
```

Calculated values
Its total energy is -4.2924 eV/atom. The offset from the most stable computed form comes out at 0 meV/atom. Its formation energy is -174.9 meV per atom.



A plane-wave DFT calculation with GGA-PBE was carried out for a relaxed structure of CaLaY2Pd.

Cell and atoms, written as CIF:
```
data_CaLaY2Pd
_symmetry_space_group_name_H-M 'P 1'
_symmetry_Int_Tables_number 1
_symmetry_space_group_name_Hall 'P 1'
_cell_length_a 5.644
_cell_length_b 5.644
_cell_length_c 5.599
_cell_angle_alpha 90.00
_cell_angle_beta 90.00
_cell_angle_gamma 90.00
loop_
_atom_site_label
_atom_site_type_symbol
_atom_site_fract_x
_atom_site_fract_y
_atom_site_fract_z
_atom_site_occupancy
La1 La 0.000 0.000 0.500 1
Ca1 Ca 0.500 0.500 0.500 1
Pd1 Pd 0.000 0.000 0.000 1
Y1 Y 0.500 0.000 0.000 1
Y2 Y 0.000 0.500 0.000 1
```

Calculated values
Its total energy is -5.1933 eV/atom. The offset from the most stable computed form comes out at 0 meV/atom. Its formation energy is -183.3 meV per atom.



A plane-wave DFT calculation with GGA-PBE was carried out for a relaxed structure of Ca2LaYPd.

Cell and atoms, written as CIF:
```
data_Ca2LaYPd
_symmetry_space_group_name_H-M 'P 1'
_symmetry_Int_Tables_number 1
_symmetry_space_group_name_Hall 'P 1'
_cell_length_a 5.665
_cell_length_b 5.665
_cell_length_c 5.603
_cell_angle_alpha 90.00
_cell_angle_beta 90.00
_cell_angle_gamma 90.00
loop_
_atom_site_label
_atom_site_type_symbol
_atom_site_fract_x
_atom_site_fract_y
_atom_site_fract_z
_atom_site_occupancy
Pd1 Pd 0.000 0.000 0.000 1
Ca1 Ca 0.000 0.500 0.000 1
Y1 Y 0.500 0.500 0.500 1
Ca2 Ca 0.500 0.000 0.000 1
La1 La 0.000 0.000 0.500 1
```

Calculated values
Its total energy is -4.2473 eV/atom. The offset from the most stable computed form comes out at 45 meV/atom. Its formation energy is -129.8 meV per atom.



A plane-wave DFT calculation with GGA-PBE was carried out for a relaxed structure of CaLaZn2Pd2.

Cell and atoms, written as CIF:
```
data_CaLaZn2Pd2
_symmetry_space_group_name_H-M 'P 1'
_symmetry_Int_Tables_number 1
_symmetry_space_group_name_Hall 'P 1'
_cell_length_a 4.457
_cell_length_b 4.457
_cell_length_c 7.753
_cell_angle_alpha 90.00
_cell_angle_beta 90.00
_cell_angle_gamma 120.00
loop_
_atom_site_label
_atom_site_type_symbol
_atom_site_fract_x
_atom_site_fract_y
_atom_site_fract_z
_atom_site_occupancy
Ca1 Ca 0.000 0.000 0.500 1
Zn1 Zn 0.333 0.667 0.263 1
Pd1 Pd 0.667 0.333 0.249 1
Pd2 Pd 0.333 0.667 0.751 1
La1 La 0.000 0.000 0.000 1
Zn2 Zn 0.667 0.333 0.737 1
```

Calculated values
Its total energy is -3.9397 eV/atom. Its formation energy is -629.3 meV per atom.



A plane-wave DFT calculation with GGA-PBE was carried out for a relaxed structure of CaLaZnPd.

Cell and atoms, written as CIF:
```
data_CaLaZnPd
_symmetry_space_group_name_H-M 'P 1'
_symmetry_Int_Tables_number 1
_symmetry_space_group_name_Hall 'P 1'
_cell_length_a 4.123
_cell_length_b 4.348
_cell_length_c 6.153
_cell_angle_alpha 90.00
_cell_angle_beta 109.58
_cell_angle_gamma 90.00
loop_
_atom_site_label
_atom_site_type_symbol
_atom_site_fract_x
_atom_site_fract_y
_atom_site_fract_z
_atom_site_occupancy
La1 La 0.862 0.500 0.723 1
Zn1 Zn 0.572 0.500 0.144 1
Ca1 Ca 0.142 0.000 0.284 1
Pd1 Pd 0.425 0.000 0.849 1
```

Calculated values
Its total energy is -3.8900 eV/atom. Its formation energy is -541.0 meV per atom.